## MoRu (PBE-GGA)

Data for a relaxed structure of MoRu.

N(E_F) ... 21.16 states/eV/cell
SG ... I-43m, No. 217
Calculated formation energy ... 1.7283 eV per atom
DFT total energy ... -8.33 eV per atom

Structure (POSCAR):
```
MoRu
1.0
7.667 0.000 0.000
0.000 7.667 0.000
0.000 0.000 7.667
Mo Ru
8 8
Cartesian
1.071 1.071 1.071
1.071 6.595 6.595
2.762 2.762 4.905
2.762 4.905 2.762
4.905 2.762 2.762
4.905 4.905 4.905
6.595 1.071 6.595
6.595 6.595 1.071
1.348 1.348 6.319
1.348 6.319 1.348
2.485 2.485 2.485
2.485 5.181 5.181
5.181 2.485 5.181
5.181 5.181 2.485
6.319 1.348 1.348
6.319 6.319 6.319
```